A relaxed Hg2PbI crystal. Source: the Alexandria database, functional PBE-GGA.

Values from the calculation:
- Energy relative to the elements, uncorrected: 13 kJ/mol of formula units
- Space-group type: R-3m (166)
- Crystal system: trigonal

Unit cell a=11.8723 b=11.8723 c=11.8723 alpha=17.62 beta=17.62 gamma=17.62
Closest atoms and distances in Å follow each position.
Fractional coordinates of all 4 atoms:
Hg  0.0875  0.0875  0.0875  1 Pb 3.07
Hg  0.9125  0.9125  0.9125  1 Pb 3.07
Pb  0.0000  0.0000  0.0000  2 Hg 3.07
I  0.5000  0.5000  0.5000  6 Hg 3.48, 6 I 3.64

=====

A relaxed Ge5Pb3Cl12 crystal. Source: the Alexandria database, functional PBE-GGA.

Values from the calculation:
- Energy relative to the elements, uncorrected: -908 kJ/mol of formula units
- Space-group type: Ia-3d (230)
- Crystal system: cubic

Unit cell a=14.5830 b=14.5830 c=14.5830 alpha=109.47 beta=109.47 gamma=109.47
Closest atoms and distances in Å follow each position.
Fractional coordinates of all 80 atoms:
Ge  0.0000  0.0000  0.0000  6 Cl 2.74
Ge  0.0000  0.0000  0.5000  6 Cl 2.74
Ge  0.0000  0.5000  0.0000  6 Cl 2.74
Ge  0.0000  0.5000  0.5000  6 Cl 2.74
Ge  0.1250  0.7500  0.8750  4 Cl 2.66
Ge  0.1250  0.8750  0.2500  4 Cl 2.66
Ge  0.2500  0.1250  0.8750  4 Cl 2.66
Ge  0.2500  0.6250  0.3750  4 Cl 2.66
Ge  0.3750  0.2500  0.6250  4 Cl 2.66
Ge  0.3750  0.6250  0.7500  4 Cl 2.66
Ge  0.5000  0.0000  0.0000  6 Cl 2.74
Ge  0.5000  0.0000  0.5000  6 Cl 2.74
Ge  0.5000  0.5000  0.0000  6 Cl 2.74
Ge  0.5000  0.5000  0.5000  6 Cl 2.74
Ge  0.6250  0.3750  0.2500  4 Cl 2.66
Ge  0.6250  0.7500  0.3750  4 Cl 2.66
Ge  0.7500  0.3750  0.6250  4 Cl 2.66
Ge  0.7500  0.8750  0.1250  4 Cl 2.66
Ge  0.8750  0.1250  0.7500  4 Cl 2.66
Ge  0.8750  0.2500  0.1250  4 Cl 2.66
Pb  0.1250  0.2500  0.3750  8 Cl 3.10-3.38
Pb  0.1250  0.3750  0.7500  8 Cl 3.10-3.38
Pb  0.2500  0.3750  0.1250  8 Cl 3.10-3.38
Pb  0.2500  0.8750  0.6250  8 Cl 3.10-3.38
Pb  0.3750  0.1250  0.2500  8 Cl 3.10-3.38
Pb  0.3750  0.7500  0.1250  8 Cl 3.10-3.38
Pb  0.6250  0.2500  0.8750  8 Cl 3.10-3.38
Pb  0.6250  0.8750  0.7500  8 Cl 3.10-3.38
Pb  0.7500  0.1250  0.3750  8 Cl 3.10-3.38
Pb  0.7500  0.6250  0.8750  8 Cl 3.10-3.38
Pb  0.8750  0.6250  0.2500  8 Cl 3.10-3.38
Pb  0.8750  0.7500  0.6250  8 Cl 3.10-3.38
Cl  0.0390  0.2134  0.1134  2 Ge 2.66-2.74
Cl  0.0390  0.3257  0.9256  2 Ge 2.66-2.74
Cl  0.0744  0.6134  0.4001  2 Ge 2.66-2.74
Cl  0.0744  0.9610  0.6743  2 Ge 2.66-2.74
Cl  0.0999  0.7134  0.6743  2 Ge 2.66-2.74
Cl  0.0999  0.8866  0.4256  2 Ge 2.66-2.74
Cl  0.1134  0.0390  0.2134  2 Ge 2.66-2.74
Cl  0.1134  0.5744  0.9001  2 Ge 2.66-2.74
Cl  0.1743  0.2134  0.5999  2 Ge 2.66-2.74
Cl  0.1743  0.4610  0.5744  2 Ge 2.66-2.74
Cl  0.2134  0.1134  0.0390  2 Ge 2.66-2.74
Cl  0.2134  0.5999  0.1743  2 Ge 2.66-2.74
Cl  0.2866  0.3257  0.9001  2 Ge 2.66-2.74
Cl  0.2866  0.4610  0.3866  2 Ge 2.66-2.74
Cl  0.3257  0.9001  0.2866  2 Ge 2.66-2.74
Cl  0.3257  0.9256  0.0390  2 Ge 2.66-2.74
Cl  0.3866  0.2866  0.4610  2 Ge 2.66-2.74
Cl  0.3866  0.5999  0.9256  2 Ge 2.66-2.74
Cl  0.4001  0.0744  0.6134  2 Ge 2.66-2.74
Cl  0.4001  0.8257  0.7866  2 Ge 2.66-2.74
Cl  0.4256  0.0999  0.8866  2 Ge 2.66-2.74
Cl  0.4256  0.8257  0.5390  2 Ge 2.66-2.74
Cl  0.4610  0.3866  0.2866  2 Ge 2.66-2.74
Cl  0.4610  0.5744  0.1743  2 Ge 2.66-2.74
Cl  0.5390  0.4256  0.8257  2 Ge 2.66-2.74
Cl  0.5390  0.6134  0.7134  2 Ge 2.66-2.74
Cl  0.5744  0.1743  0.4610  2 Ge 2.66-2.74
Cl  0.5744  0.9001  0.1134  2 Ge 2.66-2.74
Cl  0.5999  0.1743  0.2134  2 Ge 2.66-2.74
Cl  0.5999  0.9256  0.3866  2 Ge 2.66-2.74
Cl  0.6134  0.4001  0.0744  2 Ge 2.66-2.74
Cl  0.6134  0.7134  0.5390  2 Ge 2.66-2.74
Cl  0.6743  0.0744  0.9610  2 Ge 2.66-2.74
Cl  0.6743  0.0999  0.7134  2 Ge 2.66-2.74
Cl  0.7134  0.5390  0.6134  2 Ge 2.66-2.74
Cl  0.7134  0.6743  0.0999  2 Ge 2.66-2.74
Cl  0.7866  0.4001  0.8257  2 Ge 2.66-2.74
Cl  0.7866  0.8866  0.9610  2 Ge 2.66-2.74
Cl  0.8257  0.5390  0.4256  2 Ge 2.66-2.74
Cl  0.8257  0.7866  0.4001  2 Ge 2.66-2.74
Cl  0.8866  0.4256  0.0999  2 Ge 2.66-2.74
Cl  0.8866  0.9610  0.7866  2 Ge 2.66-2.74
Cl  0.9001  0.1134  0.5744  2 Ge 2.66-2.74
Cl  0.9001  0.2866  0.3257  2 Ge 2.66-2.74
Cl  0.9256  0.0390  0.3257  2 Ge 2.66-2.74
Cl  0.9256  0.3866  0.5999  2 Ge 2.66-2.74
Cl  0.9610  0.6743  0.0744  2 Ge 2.66-2.74
Cl  0.9610  0.7866  0.8866  2 Ge 2.66-2.74

=====

Which of these has the highest energy relative to the elements, uncorrected? Hg2PbI